BaH2Cl2O | Alexandria via LeMat-Bulk | PBE | relaxed; DOS at the Fermi energy = 0.00 states/eV per cell; E = -4.673 eV per atom; crystal system = orthorhombic
1.0
-0.324 -4.076 2.022
8.773 0.869 3.159
-3.761 4.822 9.119
Ba H Cl O
4 8 8 4
direct
0.750 0.598 0.693
0.750 0.902 0.193
0.250 0.098 0.807
0.250 0.402 0.307
0.750 0.362 0.071
0.250 0.484 0.878
0.750 0.984 0.622
0.250 0.638 0.929
0.750 0.138 0.571
0.750 0.516 0.122
0.250 0.862 0.429
0.250 0.016 0.378
0.750 0.177 0.378
0.750 0.323 0.878
0.750 0.619 0.396
0.250 0.381 0.604
0.250 0.119 0.104
0.250 0.823 0.622
0.750 0.881 0.896
0.250 0.677 0.122
0.250 0.584 0.852
0.250 0.916 0.352
0.750 0.416 0.148
0.750 0.084 0.648